# 1
VASP calculation (PBE-GGA) on crystalline LiAg5Ge at its relaxed geometry.

Structure (CIF):
```
data_LiAg5Ge
_space_group_name_H-M_alt 'C 1 2/c 1'
_space_group_IT_number 15
_cell_length_a 7.209
_cell_length_b 12.852
_cell_length_c 5.289
_cell_angle_alpha 90.00
_cell_angle_beta 92.88
_cell_angle_gamma 90.00
loop_
_space_group_symop_operation_xyz
'x,y,z'
'-x,-y,-z'
'-x,y,-z+1/2'
'x,-y,z+1/2'
'x+1/2,y+1/2,z'
'-x+1/2,-y+1/2,-z'
'-x+1/2,y+1/2,-z+1/2'
'x+1/2,-y+1/2,z+1/2'
loop_
_atom_site_label
_atom_site_type_symbol
_atom_site_fract_x
_atom_site_fract_y
_atom_site_fract_z
Li1 Li 0.000 0.128 0.250
Ag1 Ag 0.000 0.102 0.750
Ag2 Ag 0.109 0.322 0.493
Ag3 Ag 0.190 0.464 0.923
Ge1 Ge 0.250 0.250 0.000
```

formation energy: -0.0052 eV per atom
crystal system: monoclinic



# 2
VASP calculation (PBE-GGA) on crystalline Li2Ag6Ge at its relaxed geometry.

Structure (CIF):
```
data_Li2Ag6Ge
_space_group_name_H-M_alt 'P 42/m n m'
_space_group_IT_number 136
_space_group_name_Hall '-P 4n 2n'
_cell_length_a 5.433
_cell_length_b 5.433
_cell_length_c 12.929
_cell_angle_alpha 90.00
_cell_angle_beta 90.00
_cell_angle_gamma 90.00
loop_
_atom_site_label
_atom_site_type_symbol
_atom_site_fract_x
_atom_site_fract_y
_atom_site_fract_z
Li1 Li 0.000 0.000 0.161
Ag1 Ag 0.177 0.177 0.000
Ag2 Ag 0.183 0.183 0.324
Ge1 Ge 0.000 0.000 0.500
```

formation energy: 0.3767 eV per atom
crystal system: tetragonal



# 3
VASP calculation (PBE-GGA) on crystalline Li2Ag4Ge at its relaxed geometry.

Structure (CIF):
```
data_Li2Ag4Ge
_space_group_name_H-M_alt 'I 4/m m m'
_space_group_IT_number 139
_space_group_name_Hall '-I 4 2'
_cell_length_a 4.842
_cell_length_b 4.842
_cell_length_c 13.835
_cell_angle_alpha 90.00
_cell_angle_beta 90.00
_cell_angle_gamma 90.00
loop_
_atom_site_label
_atom_site_type_symbol
_atom_site_fract_x
_atom_site_fract_y
_atom_site_fract_z
Li1 Li 0.000 0.000 0.116
Ag1 Ag 0.000 0.000 0.311
Ag2 Ag 0.000 0.500 0.000
Ge1 Ge 0.000 0.000 0.500
```

formation energy: 0.2409 eV per atom
crystal system: tetragonal



# 4
VASP calculation (PBE-GGA) on crystalline Li2Ag4Ge at its relaxed geometry.

Structure (CIF):
```
data_Li2Ag4Ge
_space_group_name_H-M_alt 'P -1'
_space_group_IT_number 2
_cell_length_a 5.075
_cell_length_b 5.536
_cell_length_c 8.807
_cell_angle_alpha 89.97
_cell_angle_beta 89.84
_cell_angle_gamma 86.57
loop_
_space_group_symop_operation_xyz
'x,y,z'
'-x,-y,-z'
loop_
_atom_site_label
_atom_site_type_symbol
_atom_site_fract_x
_atom_site_fract_y
_atom_site_fract_z
Li1 Li 0.241 0.052 0.002
Li2 Li 0.241 0.552 0.499
Ag1 Ag 0.002 0.000 0.328
Ag2 Ag 0.003 0.501 0.172
Ag3 Ag 0.497 0.250 0.750
Ag4 Ag 0.497 0.750 0.750
Ge1 Ge 0.500 0.000 0.500
Ge2 Ge 0.500 0.500 0.000
```

formation energy: -0.0656 eV per atom
crystal system: triclinic